19
Lattice="5.6129 0.0000 0.0000 -2.8065 7.5444 -0.0240 0.0000 -2.6851 8.8222" Properties=species:S:1:pos:R:3 comment="PBE-GGA Hg2Sb5Pd12, optimized geometry" volume_a3_per_cell=373.2 formation_energy_uncorrected_mev_per_atom=-287 magnetic_moment_mub_per_cell=0.00 pbc="T T T"
Pd 1.3841 4.0455 3.5235
Pd 1.4224 0.8137 5.2746
Sb 2.8065 1.8138 3.0537
Pd 4.2255 2.6290 0.9262
Hg 1.3721 0.0000 0.0000
Sb 0.0000 3.0455 5.7445
Pd -1.3841 4.0455 3.5235
Pd 4.1906 0.8137 5.2746
Pd 0.0000 5.6567 5.6697
Pd 1.3875 2.6290 0.9262
Sb 2.8065 0.0029 7.4806
Pd -1.4190 2.2303 7.8719
Sb 0.0000 -1.3426 4.4111
Pd 1.4190 2.2303 7.8719
Pd 2.8065 3.9972 6.0785
Sb 0.0000 4.8563 1.3176
Pd 2.8065 -0.7975 3.1285
Hg 4.2409 0.0000 0.0000
Pd 0.0000 0.8620 2.7196